(1)
Material: SmDy2Tm3
Method: DFT, PBE-GGA
State: optimized geometry

Cell and atoms, written as extended XYZ:
```
12
Lattice="-5.978 1.043 -0.630 -1.226 -3.345 6.097 1.439 9.146 1.218" Properties=species:S:1:pos:R:3 pbc="T T T"
Dy -0.984 0.493 5.183
Tm -5.388 4.672 4.545
Sm -4.637 0.363 0.292
Tm -0.377 2.172 2.140
Tm -2.706 3.313 6.387
Tm -1.955 -0.996 2.133
Sm -2.567 -2.665 5.175
Dy -2.099 4.994 3.339
Tm -5.249 -1.306 3.334
Dy -3.667 1.850 3.346
Dy -4.782 6.351 1.502
Tm -3.060 3.532 0.298
```

Computed properties:
- Density of states at the Fermi level: 1.429 states/eV per atom
- Formation energy: 0.02 eV per atom
- Crystal system: monoclinic



(2)
Material: Li2YTcO6
Method: DFT, PBE-GGA
State: optimized geometry

Cell and atoms, written as extended XYZ:
```
20
Lattice="-4.649 -2.135 1.461 1.690 -0.072 5.275 -2.940 7.157 1.039" Properties=species:S:1:pos:R:3 pbc="T T T"
Li -2.200 5.252 0.895
O -3.790 -0.294 4.522
O -2.109 5.245 3.253
Li -3.620 4.377 4.247
Tc 0.845 -0.036 2.637
O -1.946 2.757 1.541
Y -2.325 -1.068 0.730
Li -2.279 0.573 3.528
O -5.407 5.254 3.832
O -5.380 4.716 6.432
O -3.952 2.193 6.233
O -0.519 0.234 1.343
O -0.492 -0.304 3.942
Li -3.698 -0.301 6.879
O -2.324 4.326 6.218
O -3.575 0.624 1.557
O -4.150 2.738 3.102
Tc -3.794 2.511 1.250
Y -0.625 3.543 3.157
O -1.749 2.212 4.673
```

Computed properties:
- Crystal system: monoclinic
- ΔE_f (raw): -2.0216 eV per atom



(3)
Material: Dy3Y2Ho5
Method: DFT, PBE-GGA
State: optimized geometry

Cell and atoms, written as extended XYZ:
```
20
Lattice="-8.014 4.449 -2.556 3.505 -5.347 -7.010 -1.913 -5.603 7.316" Properties=species:S:1:pos:R:3 pbc="T T T"
Dy -6.835 -1.983 1.998
Dy -4.238 -7.352 -1.721
Ho 0.001 -3.006 -1.185
Ho -1.962 -6.871 3.049
Dy -2.966 -1.583 -2.793
Y -5.335 0.343 -1.860
Ho -6.118 -2.037 -4.292
Ho -2.599 -3.160 -5.829
Y -9.124 0.060 2.882
Dy 0.412 -4.519 -4.249
Ho -2.506 -4.836 -2.774
Ho -3.824 -3.342 3.579
Ho -4.461 0.369 -5.299
Dy -2.184 0.850 -0.529
Ho -3.917 -1.666 0.524
Ho -0.305 -4.465 2.042
Dy -3.456 -4.918 0.542
Ho -6.423 -3.495 -1.065
Y 2.702 -6.561 -5.133
Y -1.087 -6.844 -0.390
```

Computed properties:
- Density of states at the Fermi level: 1.979 states/eV per atom
- Formation energy: 0.21 eV per atom
- Crystal system: monoclinic



(4)
Material: Mg2In2Ga
Method: DFT, PBE-GGA
State: optimized geometry

Cell and atoms, written as extended XYZ:
```
10
Lattice="-0.730 4.378 -0.477 -6.379 -1.436 -3.425 -3.512 0.122 6.490" Properties=species:S:1:pos:R:3 pbc="T T T"
In -5.287 -0.408 4.340
Mg -3.744 2.035 3.510
Ga -4.945 -0.657 1.533
In -7.725 -1.152 1.238
Mg -7.537 1.338 2.912
Mg -6.876 1.030 -0.921
Mg -3.084 1.727 -0.324
In -4.604 -0.906 -1.274
Ga 0.000 0.000 0.000
In -2.166 -0.162 1.827
```

Computed properties:
- Density of states at the Fermi level: 0.477 states/eV per atom
- Formation energy: 0.05 eV per atom
- Crystal system: tetragonal



(5)
Material: Ca2Sn7Au12
Method: DFT, PBE-GGA
State: optimized geometry

Cell and atoms, written as extended XYZ:
```
21
Lattice="-0.190 -0.344 -5.058 7.596 -7.375 2.693 -10.033 -2.730 0.463" Properties=species:S:1:pos:R:3 pbc="T T T"
Au -0.973 -8.582 -1.443
Au -7.814 -3.389 -0.246
Sn -2.035 -3.378 -2.855
Au 1.635 -8.484 1.888
Sn 4.028 -7.469 1.034
Au -1.654 -1.867 -0.459
Sn -6.655 -2.980 -2.937
Ca 1.532 -5.994 -1.828
Au -2.126 -5.951 -1.991
Au -4.262 -1.965 -3.790
Sn 1.960 -3.147 0.554
Au -0.500 -4.498 0.088
Au -6.523 -5.534 -1.732
Sn -0.095 -0.172 -2.529
Au 5.187 -7.060 -1.657
Au 0.596 -2.880 -2.039
Sn -0.592 -7.072 0.952
Au 3.896 -4.915 -0.171
Au -3.223 -7.570 0.136
Sn -4.587 -7.303 -2.457
Ca -4.159 -4.456 -0.075
```

Computed properties:
- Density of states at the Fermi level: 0.316 states/eV per atom
- Formation energy: -0.28 eV per atom
- Crystal system: triclinic



(6)
Material: ErTm2Sc
Method: DFT, PBE-GGA
State: optimized geometry

Cell and atoms, written as extended XYZ:
```
4
Lattice="3.476 0.000 0.000 1.738 3.010 0.000 1.738 1.003 11.003" Properties=species:S:1:pos:R:3 pbc="T T T"
Tm 1.738 1.003 8.326
Sc 3.476 2.007 0.015
Er 3.476 2.007 5.486
Tm 1.738 1.003 2.678
```

Computed properties:
- Density of states at the Fermi level: 1.609 states/eV per atom
- Formation energy: 0.03 eV per atom
- Crystal system: trigonal



(7)
Material: KCrCoAg2
Method: DFT, PBE-GGA
State: optimized geometry

Cell and atoms, written as extended XYZ:
```
5
Lattice="-2.688 2.778 -3.530 0.309 -3.228 -2.776 -4.476 -2.004 1.831" Properties=species:S:1:pos:R:3 pbc="T T T"
Cr 0.000 0.000 0.000
Co 0.155 -1.614 -1.388
Ag -1.344 1.389 -1.765
K -3.427 -1.227 -2.238
Ag -2.238 -1.002 0.916
```

Computed properties:
- Density of states at the Fermi level: 1.013 states/eV per atom
- Formation energy: 0.89 eV per atom
- Crystal system: tetragonal



(8)
Material: Mg2PtBr
Method: DFT, PBE-GGA
State: optimized geometry

Cell and atoms, written as extended XYZ:
```
4
Lattice="4.848 0.000 0.000 2.424 4.199 0.000 2.424 1.400 3.959" Properties=species:S:1:pos:R:3 pbc="T T T"
Br 4.848 2.799 1.979
Pt 7.272 4.199 2.969
Mg 0.000 0.000 0.000
Mg 2.424 1.400 0.990
```

Computed properties:
- Density of states at the Fermi level: 0.812 states/eV per atom
- Crystal system: cubic
- ΔE_f (raw): 0.0390 eV per atom



(9)
Material: NaGaSi2Tc
Method: DFT, PBE-GGA
State: optimized geometry

Cell and atoms, written as extended XYZ:
```
5
Lattice="4.710 0.000 0.000 0.000 4.710 0.000 0.000 0.000 4.875" Properties=species:S:1:pos:R:3 pbc="T T T"
Tc 0.000 0.000 0.000
Si 2.355 0.000 0.000
Na 2.355 2.355 2.438
Si 0.000 2.355 0.000
Ga 0.000 0.000 2.438
```

Computed properties:
- Density of states at the Fermi level: 0.630 states/eV per atom
- Crystal system: tetragonal
- ΔE_f (raw): 0.0899 eV per atom



(10)
Material: SrNiBi
Method: DFT, PBE-GGA
State: optimized geometry

Cell and atoms, written as extended XYZ:
```
6
Lattice="4.336 0.000 0.000 0.000 8.124 -0.904 0.000 -2.363 5.179" Properties=species:S:1:pos:R:3 pbc="T T T"
Bi 1.084 4.937 2.044
Sr 3.252 5.963 -0.492
Bi 3.252 0.824 2.232
Sr 1.084 -0.202 4.768
Ni 1.084 2.334 2.518
Ni 3.252 3.427 1.757
```

Computed properties:
- Density of states at the Fermi level: 1.171 states/eV per atom
- Formation energy: -0.44 eV per atom
- Crystal system: monoclinic



(11)
Material: MnInBrCl2
Method: DFT, PBE-GGA
State: optimized geometry

Cell and atoms, written as extended XYZ:
```
10
Lattice="5.343 0.000 0.000 0.000 7.705 -1.575 0.000 -2.572 8.849" Properties=species:S:1:pos:R:3 pbc="T T T"
Br 4.007 3.158 1.020
Cl 4.007 4.663 6.333
Mn 4.007 0.689 1.197
Mn 1.336 4.444 6.076
Cl 1.336 5.749 4.145
Cl 4.007 -0.616 3.128
Br 1.336 1.975 6.253
Cl 1.336 0.470 0.940
In 1.336 5.128 1.096
In 4.007 0.006 6.177
```

Computed properties:
- Density of states at the Fermi level: 0.000 states/eV per atom
- Crystal system: monoclinic
- ΔE_f (raw): -0.8832 eV per atom



(12)
Material: AgSbSeBr
Method: DFT, PBE-GGA
State: optimized geometry

Cell and atoms, written as extended XYZ:
```
4
Lattice="5.516 0.000 0.000 -2.758 2.946 0.459 0.000 0.837 6.695" Properties=species:S:1:pos:R:3 pbc="T T T"
Br 0.000 3.033 4.459
Se 0.000 0.666 1.241
Sb 2.758 1.279 0.421
Ag 2.758 3.079 4.436
```

Computed properties:
- Density of states at the Fermi level: 0.428 states/eV per atom
- Crystal system: monoclinic
- ΔE_f (raw): -0.1521 eV per atom



- Which formula does entry 12 have?
  AgSbSeBr



- Which formula does entry 6 have?
  ErTm2Sc